[1]
CsAlIO2 at its PBEsol-relaxed geometry, computed with SCAN.

Values from the calculation:
- ΔE_f (raw) (eV/atom) = -0.77
- total energy (eV per atom) = -19.725

abc: 4.346 4.346 5.395
angles: 90.00 90.00 90.00
Space group P4/mmm (No. 123)
Asymmetric unit:
Cs1 0.000 0.000 0.000 x1
Al1 0.500 0.500 0.500 x1
I1 0.500 0.500 0.000 x1
O1 0.000 0.500 0.500 x2

***

[2]
CsAl2In at its PBEsol-relaxed geometry, computed with SCAN.

Values from the calculation:
- energy of formation from the pure elements (eV per atom) = 0.282
- total energy (eV per atom) = -21.393

abc: 5.533 5.533 18.954
angles: 90.00 90.00 90.00
Space group I4_1/amd (No. 141, origin choice 2)
Asymmetric unit:
Cs1 0.000 0.250 0.375 x4
Al1 0.000 0.000 0.000 x8
In1 0.000 0.250 0.875 x4

***

[3]
CsAl2In2 at its PBEsol-relaxed geometry, computed with SCAN.

Values from the calculation:
- energy of formation from the pure elements (eV per atom) = -0.008
- total energy (eV per atom) = -24.025

abc: 4.703 4.703 12.455
angles: 90.00 90.00 90.00
Space group I4/mmm (No. 139)
Asymmetric unit:
Cs1 0.000 0.000 0.000 x2
Al1 0.000 0.500 0.250 x4
In1 0.000 0.000 0.379 x4

***

[4]
CsYAl2In at its PBEsol-relaxed geometry, computed with SCAN.

Values from the calculation:
- energy of formation from the pure elements (eV per atom) = 0.549
- total energy (eV per atom) = -22.359

abc: 5.371 5.371 5.785
angles: 90.00 90.00 90.00
Space group P4/mmm (No. 123)
Asymmetric unit:
Cs1 0.000 0.000 0.000 x1
Y1 0.500 0.500 0.000 x1
Al1 0.000 0.500 0.500 x2
In1 0.500 0.500 0.500 x1

***

[5]
CsKAl3 at its PBEsol-relaxed geometry, computed with SCAN.

Values from the calculation:
- energy of formation from the pure elements (eV per atom) = 1.200
- total energy (eV per atom) = -12.679

abc: 6.029 6.029 6.029
angles: 90.00 90.00 90.00
Space group Pm-3m (No. 221)
Asymmetric unit:
Cs1 0.000 0.000 0.000 x1
K1 0.500 0.500 0.500 x1
Al1 0.000 0.500 0.500 x3

***

[6]
Cs6K3AlSb4 at its PBEsol-relaxed geometry, computed with SCAN.

Values from the calculation:
- ΔE_f (raw) (eV/atom) = -0.56
- total energy (eV per atom) = -29.744

abc: 10.9199 10.9199 11.4035
angles: 90.00 90.00 120.00
Space group P6_3/mmc (No. 194)
Asymmetric unit:
Cs1 0.2091 0.4182 0.0429 x12
K1 0.1195 0.2389 0.7500 x6
Al1 0.3333 0.6667 0.7500 x2
Sb1 0.0000 0.0000 0.0000 x2
Sb2 0.0527 0.5264 0.7500 x6

***

[7]
CsLa2Al at its PBEsol-relaxed geometry, computed with SCAN.

Values from the calculation:
- energy of formation from the pure elements (eV per atom) = 0.227
- total energy (eV per atom) = -32.717

abc: 7.859 7.859 7.859
angles: 90.00 90.00 90.00
Space group Fm-3m (No. 225)
Asymmetric unit:
Cs1 0.000 0.000 0.000 x4
La1 0.250 0.250 0.250 x8
Al1 0.000 0.000 0.500 x4

***

[8]
Cs2LiAlPd at its PBEsol-relaxed geometry, computed with SCAN.

Values from the calculation:
- energy of formation from the pure elements (eV per atom) = 0.752
- total energy (eV per atom) = -22.956

abc: 6.587 6.587 5.176
angles: 90.00 90.00 90.00
Space group P4/mmm (No. 123)
Asymmetric unit:
Cs1 0.000 0.500 0.000 x2
Li1 0.000 0.000 0.500 x1
Al1 0.000 0.000 0.000 x1
Pd1 0.500 0.500 0.500 x1

***

[9]
Cs3MgAl at its PBEsol-relaxed geometry, computed with SCAN.

Values from the calculation:
- energy of formation from the pure elements (eV per atom) = 0.663
- total energy (eV per atom) = -24.569

abc: 7.204 7.204 7.204
angles: 90.00 90.00 90.00
Space group Pm-3m (No. 221)
Asymmetric unit:
Cs1 0.000 0.000 0.500 x3
Mg1 0.000 0.000 0.000 x1
Al1 0.500 0.500 0.500 x1

***

[10]
CsNaMgAl2 at its PBEsol-relaxed geometry, computed with SCAN.

Values from the calculation:
- energy of formation from the pure elements (eV per atom) = 0.463
- total energy (eV per atom) = -12.037

abc: 5.394 5.394 5.965
angles: 90.00 90.00 90.00
Space group P4/mmm (No. 123)
Asymmetric unit:
Cs1 0.000 0.000 0.000 x1
Na1 0.500 0.500 0.000 x1
Mg1 0.500 0.500 0.500 x1
Al1 0.000 0.500 0.500 x2

***

[11]
CsMg4Al9Si9O36 at its PBEsol-relaxed geometry, computed with SCAN.

Values from the calculation:
- ΔE_f (raw) (eV/atom) = -3.16
- total energy (eV per atom) = -10.653

abc: 9.475 9.770 9.802
angles: 60.42 89.92 89.89
Space group P1 (No. 1)
Asymmetric unit:
Cs1 0.000 0.000 0.000 x1
Mg1 0.468 0.339 0.301 x1
Mg2 0.468 0.670 0.646 x1
Mg3 0.969 0.670 0.647 x1
Mg4 0.970 0.339 0.300 x1
Al1 0.219 0.635 0.085 x1
Al2 0.220 0.120 0.239 x1
Al3 0.468 0.004 0.476 x1
Al4 0.468 0.501 0.979 x1
Al5 0.469 0.504 0.475 x1
Al6 0.719 0.261 0.086 x1
Al7 0.969 0.500 0.979 x1
Al8 0.970 0.004 0.473 x1
Al9 0.970 0.505 0.474 x1
Si1 0.218 0.383 0.862 x1
Si2 0.218 0.737 0.360 x1
Si3 0.218 0.900 0.708 x1
Si4 0.219 0.275 0.594 x1
Si5 0.719 0.106 0.608 x1
Si6 0.719 0.624 0.246 x1
Si7 0.719 0.735 0.873 x1
Si8 0.720 0.377 0.708 x1
Si9 0.720 0.887 0.358 x1
O1 0.069 0.148 0.324 x1
O2 0.071 0.520 0.115 x1
O3 0.076 0.351 0.489 x1
O4 0.076 0.492 0.833 x1
O5 0.078 0.652 0.473 x1
O6 0.078 0.868 0.629 x1
O7 0.209 0.704 0.216 x1
O8 0.212 0.796 0.894 x1
O9 0.212 0.922 0.296 x1
O10 0.213 0.233 0.035 x1
O11 0.216 0.086 0.664 x1
O12 0.216 0.317 0.737 x1
O13 0.360 0.491 0.834 x1
O14 0.361 0.351 0.490 x1
O15 0.361 0.655 0.467 x1
O16 0.361 0.867 0.632 x1
O17 0.369 0.147 0.326 x1
O18 0.369 0.523 0.115 x1
O19 0.571 0.347 0.115 x1
O20 0.578 0.134 0.504 x1
O21 0.578 0.486 0.629 x1
O22 0.578 0.517 0.324 x1
O23 0.578 0.659 0.840 x1
O24 0.578 0.860 0.467 x1
O25 0.721 0.700 0.055 x1
O26 0.721 0.927 0.760 x1
O27 0.722 0.234 0.666 x1
O28 0.722 0.761 0.294 x1
O29 0.726 0.301 0.893 x1
O30 0.727 0.059 0.210 x1
O31 0.859 0.489 0.626 x1
O32 0.860 0.133 0.503 x1
O33 0.860 0.659 0.840 x1
O34 0.860 0.857 0.469 x1
O35 0.861 0.518 0.322 x1
O36 0.865 0.349 0.115 x1

***

[12]
Cs2MnAl at its PBEsol-relaxed geometry, computed with SCAN.

Values from the calculation:
- energy of formation from the pure elements (eV per atom) = 0.796
- total energy (eV per atom) = -24.611

abc: 8.691 8.691 8.691
angles: 90.00 90.00 90.00
Space group Fm-3m (No. 225)
Asymmetric unit:
Cs1 0.250 0.250 0.250 x8
Mn1 0.000 0.000 0.000 x4
Al1 0.000 0.000 0.500 x4